# 1
DFT (PBE) results for a relaxed structure of Mg6InSn2.

Unit cell a=7.4001 b=7.5619 c=8.8055 alpha=90.00 beta=69.50 gamma=90.00
Closest atoms and distances in Å follow each position.
Fractional positions:
1 Mg 0.8581 0.9913 0.2058  2 Sn 2.92-2.99, 4 Mg 3.05-3.19, 1 In 3.12
2 Mg 0.7909 0.5797 0.5843  3 Sn 2.90-2.93, 3 Mg 3.05-3.19
3 Mg 0.8846 0.6898 0.9509  2 Sn 2.96-3.10, 1 In 3.08, 4 Mg 3.08-3.29
4 Mg 0.6154 0.1898 0.5491  2 Sn 2.96-3.10, 1 In 3.08, 4 Mg 3.08-3.29
5 Mg 0.7091 0.0797 0.9157  3 Sn 2.90-2.93, 3 Mg 3.05-3.19
6 Mg 0.6419 0.4913 0.2942  2 Sn 2.92-2.99, 4 Mg 3.05-3.19, 1 In 3.12
7 Mg 0.1419 0.0087 0.7942  2 Sn 2.92-2.99, 4 Mg 3.05-3.19, 1 In 3.12
8 Mg 0.2091 0.4203 0.4157  3 Sn 2.90-2.93, 3 Mg 3.05-3.19
9 Mg 0.1154 0.3102 0.0491  2 Sn 2.96-3.10, 1 In 3.08, 4 Mg 3.08-3.29
10 Mg 0.3846 0.8102 0.4509  2 Sn 2.96-3.10, 1 In 3.08, 4 Mg 3.08-3.29
11 Mg 0.2909 0.9203 0.0843  3 Sn 2.90-2.93, 3 Mg 3.05-3.19
12 Mg 0.3581 0.5087 0.7058  2 Sn 2.92-2.99, 4 Mg 3.05-3.19, 1 In 3.12
13 In 0.5000 0.5000 0.0000  4 Mg 3.08-3.12
14 In 0.0000 0.0000 0.5000  4 Mg 3.08-3.12
15 Sn 0.9768 0.3600 0.7575  7 Mg 2.90-3.10
16 Sn 0.5232 0.8600 0.7425  7 Mg 2.90-3.10
17 Sn 0.4768 0.1400 0.2575  7 Mg 2.90-3.10
18 Sn 0.0232 0.6400 0.2425  7 Mg 2.90-3.10

Calculated values
The offset from the most stable computed form comes out at 0.073 eV per atom.

=====

# 2
DFT (PBE) results for a relaxed structure of MgIn6Sn2.

Unit cell a=5.3575 b=5.3607 c=9.6763 alpha=89.89 beta=90.00 gamma=119.98
Closest atoms and distances in Å follow each position.
Fractional positions:
1 Mg 0.0000 0.0000 0.5000  8 In 3.19-3.37
2 In 0.6667 0.3333 0.9811  7 In 3.12-3.43, 1 Sn 3.21
3 In 0.3333 0.6667 0.0189  7 In 3.12-3.43, 1 Sn 3.21
4 In 0.9995 0.9990 0.1701  1 Mg 3.19, 4 In 3.29-3.43, 3 Sn 3.39
5 In 0.3327 0.6653 0.3634  4 Sn 3.13-3.14, 1 In 3.33, 3 Mg 3.36-3.37
6 In 0.0005 0.0010 0.8299  1 Mg 3.19, 4 In 3.29-3.43, 3 Sn 3.39
7 In 0.6673 0.3347 0.6366  4 Sn 3.13-3.14, 1 In 3.33, 3 Mg 3.36-3.37
8 Sn 0.3342 0.6683 0.6877  8 In 3.13-3.39
9 Sn 0.6658 0.3317 0.3123  8 In 3.13-3.39

=====

# 3
DFT (PBE) results for a relaxed structure of MgInSn.

Unit cell a=4.9840 b=4.9840 c=4.9840 alpha=60.00 beta=60.00 gamma=60.00
Closest atoms and distances in Å follow each position.
Fractional positions:
1 Mg 0.0000 0.0000 0.0000  4 Sn 3.05
2 Sn 0.2500 0.2500 0.2500  4 In 3.05, 4 Mg 3.05
3 In 0.5000 0.5000 0.5000  4 Sn 3.05

=====

# 4
DFT (PBE) results for a relaxed structure of Mg5In3Sn12.

Unit cell a=15.0371 b=15.0371 c=15.0371 alpha=109.47 beta=109.47 gamma=109.47
Closest atoms and distances in Å follow each position.
Fractional positions:
1 In 0.7500 0.3750 0.1250  8 Sn 3.03-3.20
2 In 0.8750 0.7500 0.1250  8 Sn 3.03-3.20
3 In 0.3750 0.7500 0.6250  8 Sn 3.03-3.20
4 In 0.2500 0.1250 0.3750  8 Sn 3.03-3.20
5 In 0.8750 0.1250 0.2500  8 Sn 3.03-3.20
6 In 0.3750 0.6250 0.2500  8 Sn 3.03-3.20
7 In 0.6250 0.3750 0.7500  8 Sn 3.03-3.20
8 In 0.1250 0.8750 0.7500  8 Sn 3.03-3.20
9 In 0.7500 0.8750 0.6250  8 Sn 3.03-3.20
10 In 0.6250 0.2500 0.3750  8 Sn 3.03-3.20
11 In 0.1250 0.2500 0.8750  8 Sn 3.03-3.20
12 In 0.2500 0.6250 0.8750  8 Sn 3.03-3.20
13 Mg 0.1250 0.3750 0.2500  4 Sn 2.97
14 Mg 0.0000 0.5000 0.0000  6 Sn 2.95
15 Mg 0.0000 0.0000 0.0000  6 Sn 2.95
16 Mg 0.3750 0.2500 0.1250  4 Sn 2.97
17 Mg 0.5000 0.0000 0.5000  6 Sn 2.95
18 Mg 0.5000 0.5000 0.0000  6 Sn 2.95
19 Mg 0.1250 0.7500 0.3750  4 Sn 2.97
20 Mg 0.7500 0.1250 0.8750  4 Sn 2.97
21 Mg 0.7500 0.6250 0.3750  4 Sn 2.97
22 Mg 0.3750 0.1250 0.7500  4 Sn 2.97
23 Mg 0.6250 0.8750 0.2500  4 Sn 2.97
24 Mg 0.5000 0.5000 0.5000  6 Sn 2.95
25 Mg 0.5000 0.0000 0.0000  6 Sn 2.95
26 Mg 0.0000 0.0000 0.5000  6 Sn 2.95
27 Mg 0.2500 0.3750 0.6250  4 Sn 2.97
28 Mg 0.2500 0.8750 0.1250  4 Sn 2.97
29 Mg 0.0000 0.5000 0.5000  6 Sn 2.95
30 Mg 0.8750 0.2500 0.6250  4 Sn 2.97
31 Mg 0.6250 0.7500 0.8750  4 Sn 2.97
32 Mg 0.8750 0.6250 0.7500  4 Sn 2.97
33 Sn 0.7283 0.1413 0.0685  2 Mg 2.95-2.97, 2 In 3.03-3.20, 1 Sn 3.13
34 Sn 0.3401 0.5685 0.4271  2 Mg 2.95-2.97, 2 In 3.03-3.20, 1 Sn 3.13
35 Sn 0.9315 0.3587 0.2717  2 Mg 2.95-2.97, 2 In 3.03-3.20, 1 Sn 3.13
36 Sn 0.5685 0.2283 0.1413  2 Mg 2.95-2.97, 2 In 3.03-3.20, 1 Sn 3.13
37 Sn 0.5870 0.7283 0.6599  2 Mg 2.95-2.97, 2 In 3.03-3.20, 1 Sn 3.13
38 Sn 0.9315 0.5729 0.1599  2 Mg 2.95-2.97, 2 In 3.03-3.20, 1 Sn 3.13
39 Sn 0.3401 0.7717 0.4130  2 Mg 2.95-2.97, 2 In 3.03-3.20, 1 Sn 3.13
40 Sn 0.0729 0.9130 0.1413  2 Mg 2.95-2.97, 2 In 3.03-3.20, 1 Sn 3.13
41 Sn 0.5729 0.9315 0.6599  2 Mg 2.95-2.97, 2 In 3.03-3.20, 1 Sn 3.13
42 Sn 0.7283 0.5870 0.1599  2 Mg 2.95-2.97, 2 In 3.03-3.20, 1 Sn 3.13
43 Sn 0.7717 0.4315 0.3587  2 Mg 2.95-2.97, 2 In 3.03-3.20, 1 Sn 3.13
44 Sn 0.8401 0.9271 0.0685  2 Mg 2.95-2.97, 2 In 3.03-3.20, 1 Sn 3.13
45 Sn 0.1413 0.7283 0.5685  2 Mg 2.95-2.97, 2 In 3.03-3.20, 1 Sn 3.13
46 Sn 0.3587 0.4271 0.0870  2 Mg 2.95-2.97, 2 In 3.03-3.20, 1 Sn 3.13
47 Sn 0.0870 0.9271 0.3587  2 Mg 2.95-2.97, 2 In 3.03-3.20, 1 Sn 3.13
48 Sn 0.4130 0.1413 0.5729  2 Mg 2.95-2.97, 2 In 3.03-3.20, 1 Sn 3.13
49 Sn 0.0870 0.1599 0.2283  2 Mg 2.95-2.97, 2 In 3.03-3.20, 1 Sn 3.13
50 Sn 0.4315 0.6599 0.0729  2 Mg 2.95-2.97, 2 In 3.03-3.20, 1 Sn 3.13
51 Sn 0.8401 0.9130 0.2717  2 Mg 2.95-2.97, 2 In 3.03-3.20, 1 Sn 3.13
52 Sn 0.1413 0.4130 0.0729  2 Mg 2.95-2.97, 2 In 3.03-3.20, 1 Sn 3.13
53 Sn 0.3587 0.9315 0.7717  2 Mg 2.95-2.97, 2 In 3.03-3.20, 1 Sn 3.13
54 Sn 0.5729 0.6413 0.4130  2 Mg 2.95-2.97, 2 In 3.03-3.20, 1 Sn 3.13
55 Sn 0.9271 0.8401 0.5685  2 Mg 2.95-2.97, 2 In 3.03-3.20, 1 Sn 3.13
56 Sn 0.7717 0.3401 0.9130  2 Mg 2.95-2.97, 2 In 3.03-3.20, 1 Sn 3.13
57 Sn 0.4271 0.3587 0.5870  2 Mg 2.95-2.97, 2 In 3.03-3.20, 1 Sn 3.13
58 Sn 0.0729 0.1599 0.4315  2 Mg 2.95-2.97, 2 In 3.03-3.20, 1 Sn 3.13
59 Sn 0.2283 0.6599 0.0870  2 Mg 2.95-2.97, 2 In 3.03-3.20, 1 Sn 3.13
60 Sn 0.1599 0.0870 0.7283  2 Mg 2.95-2.97, 2 In 3.03-3.20, 1 Sn 3.13
61 Sn 0.6413 0.0685 0.2283  2 Mg 2.95-2.97, 2 In 3.03-3.20, 1 Sn 3.13
62 Sn 0.8587 0.5870 0.9271  2 Mg 2.95-2.97, 2 In 3.03-3.20, 1 Sn 3.13
63 Sn 0.5685 0.3401 0.9271  2 Mg 2.95-2.97, 2 In 3.03-3.20, 1 Sn 3.13
64 Sn 0.5870 0.8587 0.4271  2 Mg 2.95-2.97, 2 In 3.03-3.20, 1 Sn 3.13
65 Sn 0.9130 0.8401 0.7717  2 Mg 2.95-2.97, 2 In 3.03-3.20, 1 Sn 3.13
66 Sn 0.9130 0.0729 0.6413  2 Mg 2.95-2.97, 2 In 3.03-3.20, 1 Sn 3.13
67 Sn 0.8587 0.2717 0.4315  2 Mg 2.95-2.97, 2 In 3.03-3.20, 1 Sn 3.13
68 Sn 0.1599 0.0729 0.9315  2 Mg 2.95-2.97, 2 In 3.03-3.20, 1 Sn 3.13
69 Sn 0.6413 0.5729 0.9130  2 Mg 2.95-2.97, 2 In 3.03-3.20, 1 Sn 3.13
70 Sn 0.4271 0.0685 0.3401  2 Mg 2.95-2.97, 2 In 3.03-3.20, 1 Sn 3.13
71 Sn 0.2717 0.4130 0.8401  2 Mg 2.95-2.97, 2 In 3.03-3.20, 1 Sn 3.13
72 Sn 0.2283 0.5685 0.6413  2 Mg 2.95-2.97, 2 In 3.03-3.20, 1 Sn 3.13
73 Sn 0.9271 0.0870 0.8587  2 Mg 2.95-2.97, 2 In 3.03-3.20, 1 Sn 3.13
74 Sn 0.6599 0.2283 0.5870  2 Mg 2.95-2.97, 2 In 3.03-3.20, 1 Sn 3.13
75 Sn 0.4315 0.7717 0.8587  2 Mg 2.95-2.97, 2 In 3.03-3.20, 1 Sn 3.13
76 Sn 0.0685 0.4271 0.8401  2 Mg 2.95-2.97, 2 In 3.03-3.20, 1 Sn 3.13
77 Sn 0.4130 0.2717 0.3401  2 Mg 2.95-2.97, 2 In 3.03-3.20, 1 Sn 3.13
78 Sn 0.0685 0.6413 0.7283  2 Mg 2.95-2.97, 2 In 3.03-3.20, 1 Sn 3.13
79 Sn 0.6599 0.4315 0.5729  2 Mg 2.95-2.97, 2 In 3.03-3.20, 1 Sn 3.13
80 Sn 0.2717 0.8587 0.9315  2 Mg 2.95-2.97, 2 In 3.03-3.20, 1 Sn 3.13

=====

# 5
DFT (PBE) results for a relaxed structure of Mg3In3Sn.

Unit cell a=7.9386 b=7.9386 c=7.9386 alpha=61.72 beta=61.72 gamma=61.72
Closest atoms and distances in Å follow each position.
Fractional positions:
1 Mg 0.5384 0.2778 0.0435  3 In 3.01-3.17, 2 Sn 3.02-3.20, 1 Mg 3.06
2 Mg 0.2778 0.0435 0.5384  3 In 3.01-3.17, 2 Sn 3.02-3.20, 1 Mg 3.06
3 Mg 0.0435 0.5384 0.2778  3 In 3.01-3.17, 2 Sn 3.02-3.20, 1 Mg 3.06
4 Mg 0.9565 0.4616 0.7222  3 In 3.01-3.17, 2 Sn 3.02-3.20, 1 Mg 3.06
5 Mg 0.7222 0.9565 0.4616  3 In 3.01-3.17, 2 Sn 3.02-3.20, 1 Mg 3.06
6 Mg 0.4616 0.7222 0.9565  3 In 3.01-3.17, 2 Sn 3.02-3.20, 1 Mg 3.06
7 In 0.8682 0.3396 0.1695  3 Mg 3.01-3.17, 1 Sn 3.15, 5 In 3.36-3.37
8 In 0.1695 0.8682 0.3396  3 Mg 3.01-3.17, 1 Sn 3.15, 5 In 3.36-3.37
9 In 0.3396 0.1695 0.8682  3 Mg 3.01-3.17, 1 Sn 3.15, 5 In 3.36-3.37
10 In 0.6604 0.8305 0.1318  3 Mg 3.01-3.17, 1 Sn 3.15, 5 In 3.36-3.37
11 In 0.8305 0.1318 0.6604  3 Mg 3.01-3.17, 1 Sn 3.15, 5 In 3.36-3.37
12 In 0.1318 0.6604 0.8305  3 Mg 3.01-3.17, 1 Sn 3.15, 5 In 3.36-3.37
13 Sn 0.4040 0.4040 0.4040  6 Mg 3.02-3.20, 3 In 3.15
14 Sn 0.5960 0.5960 0.5960  6 Mg 3.02-3.20, 3 In 3.15

Calculated values
The offset from the most stable computed form comes out at 0.033 eV per atom.

=====

# 6
DFT (PBE) results for a relaxed structure of Mg3In2Sn6.

Unit cell a=7.4083 b=5.7133 c=10.1733 alpha=82.59 beta=72.35 gamma=129.80
Closest atoms and distances in Å follow each position.
Fractional positions:
1 Mg 0.0000 0.0000 0.0000  4 In 3.22-3.40, 6 Sn 3.24-3.39, 2 Mg 3.30
2 Mg 0.7380 0.5523 0.3643  8 Sn 3.18-3.50, 2 In 3.24-3.44, 2 Mg 3.30-3.37
3 Mg 0.2620 0.4477 0.6357  8 Sn 3.18-3.50, 2 In 3.24-3.44, 2 Mg 3.30-3.37
4 In 0.3729 0.2748 0.1772  4 Mg 3.22-3.44, 1 In 3.23, 7 Sn 3.25-3.45
5 In 0.6271 0.7252 0.8228  4 Mg 3.22-3.44, 1 In 3.23, 7 Sn 3.25-3.45
6 Sn 0.8353 0.3713 0.9012  3 Mg 3.20-3.39, 6 Sn 3.24-3.44, 3 In 3.30-3.38
7 Sn 0.4567 0.1214 0.7231  4 Mg 3.18-3.50, 6 Sn 3.24-3.44, 2 In 3.26-3.40
8 Sn 0.1647 0.6287 0.0988  3 Mg 3.20-3.39, 6 Sn 3.24-3.44, 3 In 3.30-3.38
9 Sn 0.5433 0.8786 0.2769  4 Mg 3.18-3.50, 6 Sn 3.24-3.44, 2 In 3.26-3.40
10 Sn 0.8850 0.1554 0.4618  4 Mg 3.18-3.39, 2 In 3.25-3.45, 6 Sn 3.29-3.47
11 Sn 0.1150 0.8446 0.5382  4 Mg 3.18-3.39, 2 In 3.25-3.45, 6 Sn 3.29-3.47

=====

# 7
DFT (PBE) results for a relaxed structure of Mg4In4Sn.

Unit cell a=4.4224 b=7.3588 c=7.3588 alpha=84.82 beta=72.51 gamma=72.51
Closest atoms and distances in Å follow each position.
Fractional positions:
1 Mg 0.3338 0.3324 0.0000  6 In 3.18-3.31, 2 Sn 3.21, 4 Mg 3.23-3.30
2 Mg 0.6662 0.6676 0.0000  6 In 3.18-3.31, 2 Sn 3.21, 4 Mg 3.23-3.30
3 Mg 0.6662 0.0000 0.6676  6 In 3.18-3.31, 2 Sn 3.21, 4 Mg 3.23-3.30
4 Mg 0.3338 0.0000 0.3324  6 In 3.18-3.31, 2 Sn 3.21, 4 Mg 3.23-3.30
5 In 0.0000 0.6735 0.3265  6 Mg 3.18-3.31, 1 Sn 3.24, 5 In 3.29-3.44
6 In 0.0000 0.3265 0.6735  6 Mg 3.18-3.31, 1 Sn 3.24, 5 In 3.29-3.44
7 In 0.6735 0.3265 0.3265  6 Mg 3.18-3.31, 1 Sn 3.24, 5 In 3.29-3.44
8 In 0.3265 0.6735 0.6735  6 Mg 3.18-3.31, 1 Sn 3.24, 5 In 3.29-3.44
9 Sn 0.0000 0.0000 0.0000  8 Mg 3.21, 4 In 3.24

=====

# 8
DFT (PBE) results for a relaxed structure of Mg7InSn4.

Unit cell a=5.5687 b=9.2433 c=6.9454 alpha=85.90 beta=66.37 gamma=72.47
Closest atoms and distances in Å follow each position.
Fractional positions:
1 Mg 0.7876 0.8939 0.5310  2 Mg 2.96-3.08, 4 Sn 2.99-3.16
2 Mg 0.2124 0.1061 0.4690  2 Mg 2.96-3.08, 4 Sn 2.99-3.16
3 Mg 0.0804 0.6590 0.1802  2 Mg 2.95-2.96, 3 Sn 2.97-3.14, 1 In 3.28
4 Mg 0.9196 0.3410 0.8198  2 Mg 2.95-2.96, 3 Sn 2.97-3.14, 1 In 3.28
5 Mg 0.3502 0.5758 0.7238  2 Mg 2.95-3.08, 4 Sn 2.98-3.08
6 Mg 0.5000 0.0000 0.0000  2 In 2.78, 2 Sn 2.90, 2 Mg 3.08
7 Mg 0.6498 0.4242 0.2762  2 Mg 2.95-3.08, 4 Sn 2.98-3.08
8 In 0.0000 0.0000 0.0000  2 Mg 2.78
9 Sn 0.5647 0.2285 0.6422  8 Mg 2.98-3.16, 1 Sn 3.09
10 Sn 0.4353 0.7715 0.3578  8 Mg 2.98-3.16, 1 Sn 3.09
11 Sn 0.7197 0.6771 0.8835  5 Mg 2.90-3.08, 1 Sn 3.09
12 Sn 0.2803 0.3229 0.1165  5 Mg 2.90-3.08, 1 Sn 3.09

=====

DFT formation energy values (in eV/atom) by entry order: -0.028, 0.003, 0.017, 0.161, 0.010, -0.031, -0.063, -0.010.